Computed, not measured: crystalline V2AgF at its relaxed geometry at the PBE+U level of DFT.

Cell lengths 4.579, 4.579, 4.579 Å; angles 60.00, 60.00, 60.00 degrees
Last column: magnetic moment on the atom in μB.
Fractional positions:
V1 0.250 0.250 0.250  2.78
V2 0.750 0.750 0.750  2.78
Ag1 0.500 0.500 0.500  0.06
F1 0.000 0.000 0.000  0.03

Computed properties:
* E above lowest polymorph: 0.224 eV per atom
* space-group type: Fm-3m
* volume: 67.87 Å³ per cell
* DFT total energy: -0.1624 hartree per atom
* DOS(E_F): 0.83 states/eV per atom